VASP calculation (PBE-GGA) on Dy4HgAu after structural relaxation.

```
Dy4HgAu
1.0
7.227 0.000 0.000
0.000 7.266 0.000
-0.289 0.000 7.066
Dy Hg Au
8 2 2
direct
0.153 0.159 0.167 Dy
0.153 0.341 0.667 Dy
0.339 0.651 0.134 Dy
0.339 0.849 0.634 Dy
0.661 0.151 0.366 Dy
0.661 0.349 0.866 Dy
0.847 0.659 0.333 Dy
0.847 0.841 0.833 Dy
0.500 0.000 0.000 Hg
0.500 0.500 0.500 Hg
0.000 0.000 0.500 Au
0.000 0.500 0.000 Au
```

Calculated values
offset from the most stable computed form: 0.181 eV/atom
space group: P2_1/c
crystal system: monoclinic
DOS at the Fermi energy: 19.2 states/eV/cell
energy of formation from the pure elements: -0.250 eV per atom

VASP calculation (PBE-GGA) on Dy2Hg3Au after structural relaxation.

```
Dy2Hg3Au
1.0
3.416 0.000 0.000
0.000 4.894 0.000
0.000 0.000 8.472
Dy Hg Au
2 3 1
direct
0.000 0.000 0.000 Dy
0.000 0.500 0.469 Dy
0.500 0.000 0.647 Hg
0.500 0.500 0.150 Hg
0.500 0.500 0.815 Hg
0.500 0.000 0.316 Au
```

Calculated values
space group: Pmm2
crystal system: orthorhombic
DOS at the Fermi energy: 3.5 states/eV/cell
energy of formation from the pure elements: -0.489 eV per atom